# Ta2CuCl

An optimized crystal structure of Ta2CuCl (PBE, Alexandria).

Calculated values
DFT total energy in eV/atom: -7.126
Polymorph energy (0 for the lowest one) in meV per atom: 285
Fermi-level density of states in states/eV per atom: 0.415
Symmetry: P2/m, No. 10
Size of the total moment in Bohr magnetons per cell: 0.00

Cell: 2.8790 3.9292 5.8710 Å, 90.00 90.23 90.00°
Closest atoms and distances in Å follow each position.
Fractional positions:
1 Ta 0.0016 0.0000 0.2368  2 Cl 2.50, 1 Ta 2.78
2 Ta 0.9984 0.0000 0.7632  2 Cl 2.50, 1 Ta 2.78
3 Cu 0.5000 0.5000 0.0000  8 Ta 2.80-2.81, 2 Cu 2.88
4 Cl 0.0000 0.5000 0.5000  4 Ta 2.50

***

# BiPdCl6

An optimized crystal structure of BiPdCl6 (PBE, Alexandria).

Calculated values
DFT total energy in eV/atom: -3.148
Polymorph energy (0 for the lowest one) in meV per atom: 0
Fermi-level density of states in states/eV per atom: 0.465
Symmetry: C2/m, No. 12
Size of the total moment in Bohr magnetons per cell: 0.00

Cell: 6.9063 6.9063 6.7652 Å, 108.03 108.03 108.70°
Closest atoms and distances in Å follow each position.
Fractional positions:
1 Bi 0.0000 0.0000 0.0000  6 Cl 2.75
2 Pd 0.0000 0.0000 0.5000  6 Cl 2.42-2.46
3 Cl 0.0063 0.7022 0.1903  1 Pd 2.46, 1 Bi 2.75
4 Cl 0.2857 0.2857 0.4683  1 Pd 2.42
5 Cl 0.2978 0.9937 0.8097  1 Pd 2.46, 1 Bi 2.75
6 Cl 0.7022 0.0063 0.1903  1 Pd 2.46, 1 Bi 2.75
7 Cl 0.7143 0.7143 0.5317  1 Pd 2.42
8 Cl 0.9937 0.2978 0.8097  1 Pd 2.46, 1 Bi 2.75